# 1
Computed, not measured: a geometry-optimized Sb2AuCl structure at the PBE level of DFT.

Lattice parameters (Å, degrees): 8.4984 8.4984 8.4984 26.89 26.89 26.89
Fractional coordinates of all 4 atoms:
Sb1 0.0000 0.0000 0.0000
Sb2 0.2564 0.2564 0.2564
Au1 0.5194 0.5194 0.5194
Cl1 0.7929 0.7929 0.7929

SG = R3m (160)
Total moment = 0.000 μB/f.u.
Excess energy over the best structure of this formula in the dataset = 178 meV per atom

---

# 2
Computed, not measured: a geometry-optimized SbAu2Cl structure at the PBE level of DFT.

Lattice parameters (Å, degrees): 4.0360 4.0360 5.3273 90.00 90.00 90.00
Fractional coordinates of all 4 atoms:
Sb1 0.0000 0.0000 0.0000
Au1 0.0000 0.5000 0.5000
Au2 0.5000 0.0000 0.5000
Cl1 0.5000 0.5000 0.0000

SG = P4/mmm (123)
Total moment = 0.000 μB/f.u.
Excess energy over the best structure of this formula in the dataset = 306 meV per atom

---

# 3
Computed, not measured: a geometry-optimized SbAu2Cl structure at the PBE level of DFT.

Lattice parameters (Å, degrees): 3.5738 3.6201 7.0494 90.00 90.00 90.00
Fractional coordinates of all 4 atoms:
Sb1 0.0000 0.0000 0.0000
Au1 0.0000 0.0000 0.3941
Au2 0.5000 0.5000 0.1889
Cl1 0.5000 0.5000 0.6419

SG = Pmm2 (25)
Total moment = 0.000 μB/f.u.
Excess energy over the best structure of this formula in the dataset = 76 meV per atom

---

# 4
Computed, not measured: a geometry-optimized SbAu2Cl6 structure at the PBE level of DFT.

Lattice parameters (Å, degrees): 9.3185 9.3185 8.0888 99.93 99.93 108.16
Fractional coordinates of all 18 atoms:
Sb1 0.1040 0.8960 0.7500
Sb2 0.8960 0.1040 0.2500
Au1 0.2042 0.2885 0.7877
Au2 0.2885 0.2042 0.2877
Au3 0.7115 0.7958 0.7123
Au4 0.7958 0.7115 0.2123
Cl1 0.0408 0.7974 0.4030
Cl2 0.0508 0.6359 0.7767
Cl3 0.2026 0.9592 0.0970
Cl4 0.3596 0.3865 0.5447
Cl5 0.3641 0.9492 0.7233
Cl6 0.3865 0.3596 0.0447
Cl7 0.6135 0.6404 0.9553
Cl8 0.6359 0.0508 0.2767
Cl9 0.6404 0.6135 0.4553
Cl10 0.7974 0.0408 0.9030
Cl11 0.9492 0.3641 0.2233
Cl12 0.9592 0.2026 0.5970

SG = C2/c (15)
Total moment = 0.000 μB/f.u.
Excess energy over the best structure of this formula in the dataset = 34 meV per atom

---

# 5
Computed, not measured: a geometry-optimized SbAu2Cl structure at the PBE level of DFT.

Lattice parameters (Å, degrees): 5.0133 5.0133 3.8454 90.00 90.00 113.21
Fractional coordinates of all 4 atoms:
Sb1 0.0000 0.0000 0.0000
Au1 0.0000 0.5000 0.5000
Au2 0.5000 0.0000 0.5000
Cl1 0.5000 0.5000 0.0000

SG = Cmmm (65)
Total moment = 0.000 μB/f.u.
Excess energy over the best structure of this formula in the dataset = 217 meV per atom

---

# 6
Computed, not measured: a geometry-optimized SbAu2Cl structure at the PBE level of DFT.

Lattice parameters (Å, degrees): 7.3568 7.3568 7.3568 31.25 31.25 31.25
Fractional coordinates of all 4 atoms:
Sb1 0.0000 0.0000 0.0000
Au1 0.4779 0.4779 0.4779
Au2 0.7365 0.7365 0.7365
Cl1 0.2210 0.2210 0.2210

SG = R3m (160)
Total moment = 0.000 μB/f.u.
Excess energy over the best structure of this formula in the dataset = 52 meV per atom